First-principles (PBE) data for ZnCoReNi after structural relaxation, as listed in OQMD via LeMat-Bulk.

Lattice parameters (Å, degrees): 4.1101 4.1101 4.1101 60.00 60.00 60.00
With the nearest neighbours (Å) after each atom.
Element x y z (fractional)
Re 0.2500 0.2500 0.2500  4 Ni 2.52, 4 Zn 2.52
Ni 0.5000 0.5000 0.5000  4 Re 2.52, 4 Co 2.52
Zn 0.0000 0.0000 0.0000  4 Co 2.52, 4 Re 2.52
Co 0.7500 0.7500 0.7500  4 Zn 2.52, 4 Ni 2.52

Values from the calculation:
Uncorrected energy, eV/atom: -6.30
Formation energy from the elements, eV per atom: 0.292
Energy relative to the lowest polymorph listed for this composition, meV per atom: 123.7